## CsSnGe2Cl8 (PBE)

Data for CsSnGe2Cl8 after structural relaxation.

* SG: P-1
* formation energy from raw total energies: -23.57 kcal/mol of atoms
* DOS(E_F): 3.2 states/eV/cell
* M_tot: 0.00 μB/f.u.

Unit cell a=6.5290 b=7.0110 c=9.8024 alpha=93.68 beta=92.70 gamma=97.62
Sites, in units of the cell vectors:
Cs (0.0000, 0.0000, 0.0000)
Sn (0.0000, 0.0000, 0.5000)
Ge (0.4371, 0.5571, 0.3008)
Ge (0.5629, 0.4429, 0.6992)
Cl (0.2113, 0.2012, 0.3243)
Cl (0.2443, 0.7156, 0.4655)
Cl (0.2646, 0.1573, 0.7099)
Cl (0.2696, 0.6155, 0.1012)
Cl (0.7304, 0.3845, 0.8988)
Cl (0.7354, 0.8427, 0.2901)
Cl (0.7557, 0.2844, 0.5345)
Cl (0.7887, 0.7988, 0.6757)